A relaxed structure of Na3Ac2AgO6, computed with PBE-GGA.

Calculated values
As for the formation energy (no corrections): -1.821 eV/atom. The density of states at the Fermi level is 3.50 states/eV/f.u.

a = 6.269 Å, b = 6.269 Å, c = 6.003 Å
α = 99.21°, β = 99.21°, γ = 119.93°
Sites, in units of the cell vectors:
1 Na 0.152 0.848 0.500
2 Na 0.848 0.152 0.500
3 Na 0.500 0.500 0.500
4 Ac 0.328 0.672 0.000
5 Ac 0.672 0.328 0.000
6 Ag 0.000 0.000 0.000
7 O 0.915 0.584 0.754
8 O 0.780 0.780 0.199
9 O 0.085 0.416 0.246
10 O 0.584 0.915 0.754
11 O 0.220 0.220 0.801
12 O 0.416 0.085 0.246

A relaxed structure of Tb5PmTl6, computed with PBE-GGA.

Calculated values
Its formation energy is -0.35 eV per atom. The density of states at the Fermi level is 10.43 states/eV/f.u.

a = 5.088 Å, b = 9.989 Å, c = 9.096 Å
α = 56.69°, β = 73.79°, γ = 59.45°
Sites, in units of the cell vectors:
1 Tb 0.500 0.166 0.669
2 Tb 0.000 0.332 0.335
3 Tb 0.500 0.500 0.000
4 Tb 0.000 0.668 0.665
5 Tb 0.500 0.834 0.331
6 Pm 0.000 0.000 0.000
7 Tl 0.748 0.084 0.336
8 Tl 0.252 0.580 0.336
9 Tl 0.247 0.253 0.000
10 Tl 0.753 0.747 0.000
11 Tl 0.748 0.420 0.664
12 Tl 0.252 0.916 0.664

A relaxed structure of Tm5Al2Sn4, computed with PBE-GGA.

Calculated values
Its formation energy is -0.23 eV per atom. The density of states at the Fermi level is 9.26 states/eV/f.u.

a = 3.576 Å, b = 8.548 Å, c = 10.686 Å
α = 113.53°, β = 99.63°, γ = 90.00°
Sites, in units of the cell vectors:
1 Tm 0.154 0.935 0.308
2 Tm 0.846 0.065 0.692
3 Tm 0.154 0.374 0.308
4 Tm 0.500 0.000 0.000
5 Tm 0.846 0.626 0.692
6 Al 0.577 0.577 0.154
7 Al 0.423 0.423 0.846
8 Sn 0.719 0.719 0.437
9 Sn 0.000 0.704 0.000
10 Sn 0.281 0.281 0.563
11 Sn 0.000 0.296 0.000

A relaxed structure of Cs4TeSe5, computed with PBE-GGA.

Calculated values
As for the formation energy (no corrections): -0.656 eV/atom. The density of states at the Fermi level is 5.69 states/eV/f.u.

a = 7.320 Å, b = 8.702 Å, c = 8.702 Å
α = 79.81°, β = 65.13°, γ = 65.13°
Each line ends with the local moment (μB).
Sites, in units of the cell vectors:
1 Cs 0.409 0.392 0.799  0.01
2 Cs 0.801 0.799 0.608  0.01
3 Cs 0.207 0.201 0.392  0.01
4 Cs 0.600 0.608 0.201  0.01
5 Te 0.070 0.000 0.000  0.05
6 Se 0.928 0.301 0.847  0.21
7 Se 0.229 0.847 0.699  0.21
8 Se 0.776 0.153 0.301  0.21
9 Se 0.076 0.699 0.153  0.21
10 Se 0.415 0.000 0.000  0.03

A relaxed structure of Zr4HPt, computed with PBE-GGA.

Calculated values
The density of states at the Fermi level is 5.50 states/eV/f.u. The calculation puts the total energy at -7.56 eV per atom.

a = 6.830 Å, b = 5.896 Å, c = 5.713 Å
α = 90.00°, β = 102.40°, γ = 90.00°
Sites, in units of the cell vectors:
1 Zr 0.887 0.619 0.177
2 Zr 0.613 0.119 0.823
3 Zr 0.308 0.359 0.386
4 Zr 0.192 0.859 0.614
5 Zr 0.113 0.381 0.823
6 Zr 0.387 0.881 0.177
7 Zr 0.692 0.641 0.614
8 Zr 0.808 0.141 0.386
9 H 0.500 0.000 0.500
10 H 0.000 0.500 0.500
11 Pt 0.000 0.000 0.000
12 Pt 0.500 0.500 0.000

A relaxed structure of PrTmNiPt, computed with PBE-GGA.

Calculated values
Its formation energy is -0.70 eV per atom. The density of states at the Fermi level is 3.76 states/eV/f.u.

a = 4.950 Å, b = 4.950 Å, c = 4.950 Å
α = 60.00°, β = 60.00°, γ = 60.00°
Sites, in units of the cell vectors:
1 Pr 0.000 0.000 0.000
2 Ni 0.750 0.750 0.750
3 Tm 0.500 0.500 0.500
4 Pt 0.250 0.250 0.250

A relaxed structure of TbNd6Cd, computed with PBE-GGA.

Calculated values
Its formation energy is 0.42 eV per atom. The density of states at the Fermi level is 12.42 states/eV/f.u.

a = 6.594 Å, b = 6.636 Å, c = 9.128 Å
α = 68.63°, β = 69.12°, γ = 59.80°
Sites, in units of the cell vectors:
1 Tb 0.500 0.500 0.500
2 Nd 0.037 0.427 0.710
3 Nd 0.821 0.028 0.712
4 Nd 0.567 0.184 0.287
5 Nd 0.179 0.972 0.288
6 Nd 0.963 0.573 0.290
7 Nd 0.433 0.816 0.713
8 Cd 0.000 0.000 0.000

A relaxed structure of MgIn3Ni, computed with PBE-GGA.

Calculated values
Its formation energy is -0.06 eV per atom. The density of states at the Fermi level is 1.62 states/eV/f.u.

a = 4.191 Å, b = 6.581 Å, c = 8.082 Å
α = 75.79°, β = 90.00°, γ = 90.00°
Sites, in units of the cell vectors:
1 Mg 0.381 0.561 0.221
2 Mg 0.881 0.114 0.585
3 In 0.881 0.653 0.480
4 In 0.381 0.022 0.326
5 In 0.881 0.694 0.868
6 In 0.881 0.269 0.082
7 In 0.381 0.405 0.724
8 In 0.381 0.980 0.938
9 Ni 0.381 0.820 0.650
10 Ni 0.881 0.855 0.156

A relaxed structure of NdYAu2, computed with PBE-GGA.

Calculated values
Its formation energy is -0.81 eV per atom. The density of states at the Fermi level is 2.16 states/eV/f.u.

a = 3.634 Å, b = 3.634 Å, c = 7.427 Å
α = 90.00°, β = 90.00°, γ = 90.00°
Sites, in units of the cell vectors:
1 Y 0.500 0.500 0.000
2 Nd 0.500 0.500 0.500
3 Au 0.000 0.000 0.769
4 Au 0.000 0.000 0.231

A relaxed structure of YCu2Te, computed with PBE-GGA.

Calculated values
As for the formation energy (no corrections): -0.411 eV/atom. The density of states at the Fermi level is 1.70 states/eV/f.u.

a = 4.219 Å, b = 4.219 Å, c = 6.002 Å
α = 69.55°, β = 69.55°, γ = 59.92°
Sites, in units of the cell vectors:
1 Cu 0.035 0.035 0.892
2 Cu 0.715 0.715 0.853
3 Te 0.478 0.478 0.566
4 Y 0.271 0.271 0.189

A relaxed structure of Dy2ScTi, computed with PBE-GGA.

Calculated values
Its formation energy is 0.41 eV per atom. The density of states at the Fermi level is 6.70 states/eV/f.u.

a = 3.278 Å, b = 3.278 Å, c = 11.512 Å
α = 81.81°, β = 81.81°, γ = 60.00°
Each line ends with the local moment (μB).
Sites, in units of the cell vectors:
1 Sc 0.500 0.500 0.500  -0.10
2 Ti 0.000 0.000 0.000  1.05
3 Dy 0.086 0.086 0.741  0.10
4 Dy 0.914 0.914 0.259  0.10

A relaxed structure of La8Pt3AuI4, computed with PBE-GGA.

Calculated values
As for the formation energy (no corrections): -1.142 eV/atom. The density of states at the Fermi level is 12.66 states/eV/f.u.

a = 8.711 Å, b = 9.635 Å, c = 8.724 Å
α = 116.98°, β = 119.95°, γ = 90.00°
Sites, in units of the cell vectors:
1 La 0.235 0.690 0.956
2 La 0.235 0.690 0.470
3 La 0.269 0.309 0.539
4 La 0.721 0.690 0.956
5 La 0.279 0.310 0.044
6 La 0.731 0.691 0.461
7 La 0.765 0.310 0.530
8 La 0.765 0.310 0.044
9 Pt 0.500 0.500 0.000
10 Pt 0.500 0.500 0.500
11 Pt 0.000 0.500 0.500
12 Au 0.000 0.500 0.000
13 I 0.500 0.000 0.000
14 I 0.500 0.000 0.500
15 I 0.000 0.000 0.000
16 I 0.000 0.000 0.500

A relaxed structure of SbPt2Br, computed with PBE-GGA.

Calculated values
As for the formation energy (no corrections): 0.296 eV/atom. The density of states at the Fermi level is 1.36 states/eV/f.u.

a = 4.949 Å, b = 4.949 Å, c = 4.949 Å
α = 125.30°, β = 125.30°, γ = 81.05°
Sites, in units of the cell vectors:
1 Sb 0.250 0.750 0.500
2 Br 0.750 0.250 0.500
3 Pt 0.000 0.000 0.000
4 Pt 0.500 0.500 0.000

A relaxed structure of CdAsW2, computed with PBE-GGA.

Calculated values
Its formation energy is 0.89 eV per atom. The density of states at the Fermi level is 4.76 states/eV/f.u.

a = 5.390 Å, b = 5.390 Å, c = 5.390 Å
α = 137.47°, β = 137.47°, γ = 61.71°
Sites, in units of the cell vectors:
1 As 0.250 0.750 0.500
2 W 0.000 0.000 0.000
3 W 0.500 0.500 0.000
4 Cd 0.750 0.250 0.500

A relaxed structure of Sr2LaCr, computed with PBE-GGA.

Calculated values
Its formation energy is 0.57 eV per atom. The density of states at the Fermi level is 4.03 states/eV/f.u.

a = 9.335 Å, b = 5.771 Å, c = 4.540 Å
α = 90.00°, β = 60.90°, γ = 128.14°
Each line ends with the local moment (μB).
Sites, in units of the cell vectors:
1 Cr 0.000 0.500 0.500  3.99
2 La 0.500 0.500 0.000  -0.07
3 Sr 0.000 0.000 0.000  -0.01
4 Sr 0.500 0.000 0.500  -0.01

A relaxed structure of SrLi6Pt2, computed with PBE-GGA.

Calculated values
Its formation energy is -0.37 eV per atom. The density of states at the Fermi level is 5.22 states/eV/f.u.

a = 4.322 Å, b = 4.322 Å, c = 9.324 Å
α = 90.00°, β = 90.00°, γ = 90.00°
Sites, in units of the cell vectors:
1 Sr 0.000 0.000 0.000
2 Li 0.000 0.500 0.285
3 Li 0.500 0.000 0.285
4 Li 0.000 0.500 0.715
5 Li 0.500 0.000 0.715
6 Li 0.500 0.500 0.500
7 Li 0.000 0.000 0.500
8 Pt 0.500 0.500 0.141
9 Pt 0.500 0.500 0.859

A relaxed structure of Ho3MgN4, computed with PBE-GGA.

Calculated values
As for the formation energy (no corrections): -1.309 eV/atom. The density of states at the Fermi level is 5.18 states/eV/f.u.

a = 4.800 Å, b = 4.800 Å, c = 4.800 Å
α = 90.00°, β = 90.00°, γ = 90.00°
Sites, in units of the cell vectors:
1 Mg 0.000 0.000 0.000
2 Ho 0.000 0.500 0.500
3 Ho 0.500 0.000 0.500
4 Ho 0.500 0.500 0.000
5 N 0.500 0.000 0.000
6 N 0.000 0.500 0.000
7 N 0.000 0.000 0.500
8 N 0.500 0.500 0.500

A relaxed structure of ScTaAlZn2, computed with PBE-GGA.

Calculated values
Its formation energy is 0.74 eV per atom. The density of states at the Fermi level is 6.05 states/eV/f.u.

a = 4.899 Å, b = 4.942 Å, c = 4.899 Å
α = 90.00°, β = 90.00°, γ = 90.00°
Sites, in units of the cell vectors:
1 Sc 0.500 0.500 0.500
2 Zn 0.000 0.000 0.500
3 Zn 0.500 0.000 0.000
4 Al 0.000 0.500 0.000
5 Ta 0.000 0.000 0.000

A relaxed structure of Na2BiPt, computed with PBE-GGA.

Calculated values
Its formation energy is -0.31 eV per atom. The density of states at the Fermi level is 1.87 states/eV/f.u.

a = 4.793 Å, b = 4.793 Å, c = 5.819 Å
α = 90.00°, β = 114.31°, γ = 120.02°
Sites, in units of the cell vectors:
1 Na 0.156 0.828 0.984
2 Na 0.611 0.056 0.667
3 Bi 0.706 0.603 0.309
4 Pt 0.026 0.263 0.290

A relaxed structure of Sc2Sn2Te, computed with PBE-GGA.

Calculated values
As for the formation energy (no corrections): -0.225 eV/atom. The density of states at the Fermi level is 4.21 states/eV/f.u.

a = 5.609 Å, b = 5.609 Å, c = 6.015 Å
α = 62.21°, β = 62.21°, γ = 90.00°
Sites, in units of the cell vectors:
1 Sc 0.750 0.250 0.500
2 Sc 0.250 0.750 0.500
3 Te 0.000 0.000 0.000
4 Sn 0.338 0.338 0.324
5 Sn 0.662 0.662 0.676

A relaxed structure of TlPt2W, computed with PBE-GGA.

Calculated values
Its formation energy is 0.20 eV per atom. The density of states at the Fermi level is 1.79 states/eV/f.u.

a = 4.649 Å, b = 2.844 Å, c = 5.233 Å
α = 90.09°, β = 90.00°, γ = 90.00°
Sites, in units of the cell vectors:
1 Pt 0.000 0.124 0.954
2 Pt 0.500 0.127 0.276
3 Tl 0.000 0.624 0.458
4 W 0.500 0.625 0.812

A relaxed structure of SrLiHg2H, computed with PBE-GGA.

Calculated values
The density of states at the Fermi level is 1.89 states/eV/f.u. The calculation puts the total energy at -1.66 eV per atom.

a = 5.626 Å, b = 3.830 Å, c = 5.626 Å
α = 90.00°, β = 90.00°, γ = 90.00°
Sites, in units of the cell vectors:
1 Sr 0.500 0.500 0.500
2 Hg 0.000 0.000 0.500
3 Hg 0.500 0.000 0.000
4 H 0.000 0.500 0.000
5 Li 0.000 0.000 0.000

A relaxed structure of LiB4C4, computed with PBE-GGA.

Calculated values
Its formation energy is 0.14 eV per atom. The density of states at the Fermi level is 0.94 states/eV/f.u.

a = 4.821 Å, b = 5.514 Å, c = 5.269 Å
α = 90.00°, β = 83.68°, γ = 90.00°
Sites, in units of the cell vectors:
1 C 0.107 0.250 0.849
2 C 0.893 0.250 0.151
3 C 0.625 0.500 0.810
4 C 0.375 0.500 0.190
5 C 0.125 0.750 0.810
6 C 0.875 0.750 0.190
7 C 0.607 0.000 0.849
8 C 0.393 0.000 0.151
9 B 0.224 0.250 0.168
10 B 0.776 0.250 0.832
11 B 0.710 0.501 0.149
12 B 0.290 0.501 0.851
13 B 0.210 0.749 0.149
14 B 0.790 0.749 0.851
15 B 0.724 0.000 0.168
16 B 0.276 0.000 0.832
17 Li 0.000 0.495 0.500
18 Li 0.500 0.755 0.500

A relaxed structure of TbPr3Ho6, computed with PBE-GGA.

Calculated values
Its formation energy is 0.23 eV per atom. The density of states at the Fermi level is 18.16 states/eV/f.u.

a = 6.582 Å, b = 9.747 Å, c = 6.660 Å
α = 111.60°, β = 119.61°, γ = 90.00°
Sites, in units of the cell vectors:
1 Tb 0.500 0.500 0.000
2 Pr 0.929 0.300 0.858
3 Pr 0.071 0.700 0.142
4 Pr 0.000 0.000 0.000
5 Ho 0.440 0.313 0.371
6 Ho 0.068 0.687 0.629
7 Ho 0.560 0.687 0.629
8 Ho 0.932 0.313 0.371
9 Ho 0.364 0.079 0.729
10 Ho 0.636 0.921 0.271

A relaxed structure of Mg2TaW, computed with PBE-GGA.

Calculated values
Its formation energy is 0.33 eV per atom. The density of states at the Fermi level is 3.27 states/eV/f.u.

a = 10.238 Å, b = 10.238 Å, c = 10.238 Å
α = 16.38°, β = 16.38°, γ = 16.38°
Sites, in units of the cell vectors:
1 Mg 0.004 0.004 0.004
2 Mg 0.248 0.248 0.248
3 Ta 0.497 0.497 0.497
4 W 0.750 0.750 0.750